1.
# Mn2In2O7

A relaxed structure of Mn2In2O7 (GGA-PBEsol, Alexandria via LeMat-Bulk).

Lattice parameters (Å, degrees): 6.868 6.868 6.868 60.00 60.00 60.00
Element x y z (fractional)
Mn 0.000 0.000 0.000
Mn 0.000 0.000 0.500
Mn 0.000 0.500 0.000
Mn 0.500 0.000 0.000
In 0.000 0.500 0.500
In 0.500 0.000 0.500
In 0.500 0.500 0.000
In 0.500 0.500 0.500
O 0.080 0.080 0.670
O 0.080 0.670 0.080
O 0.080 0.670 0.670
O 0.330 0.330 0.920
O 0.330 0.920 0.330
O 0.330 0.920 0.920
O 0.375 0.375 0.375
O 0.625 0.625 0.625
O 0.670 0.080 0.080
O 0.670 0.080 0.670
O 0.670 0.670 0.080
O 0.920 0.330 0.330
O 0.920 0.330 0.920
O 0.920 0.920 0.330

Calculated volume (Å³ per cell): 229
Energy relative to the elements, uncorrected (eV per formula unit): -18.15
SG: Fd-3m (227)
Crystal system: cubic

***

2.
# Mn2CoSb

A relaxed structure of Mn2CoSb (GGA-PBEsol, Alexandria via LeMat-Bulk).

Lattice parameters (Å, degrees): 4.171 4.171 4.171 60.00 60.00 60.00
Element x y z (fractional)
Mn 0.000 0.000 0.000
Mn 0.250 0.250 0.250
Co 0.750 0.750 0.750
Sb 0.500 0.500 0.500

Calculated volume (Å³ per cell): 51
Energy relative to the elements, uncorrected (eV per formula unit): 0.27
SG: F-43m (216)
Crystal system: cubic

***

3.
# RbCoTeI2

A relaxed structure of RbCoTeI2 (GGA-PBEsol, Alexandria via LeMat-Bulk).

Lattice parameters (Å, degrees): 6.562 6.562 6.409 90.00 90.00 90.00
Element x y z (fractional)
Rb 0.000 0.000 0.000
Co 0.500 0.500 0.500
Te 0.000 0.000 0.500
I 0.000 0.500 0.000
I 0.500 0.000 0.000

Calculated volume (Å³ per cell): 276
Energy relative to the elements, uncorrected (eV per formula unit): 6.07
SG: P4/mmm (123)
Crystal system: tetragonal

***

4.
# ScReHg2

A relaxed structure of ScReHg2 (GGA-PBEsol, Alexandria via LeMat-Bulk).

Lattice parameters (Å, degrees): 4.687 4.687 4.687 60.00 60.00 60.00
Element x y z (fractional)
Sc 0.000 0.000 0.000
Re 0.500 0.500 0.500
Hg 0.250 0.250 0.250
Hg 0.750 0.750 0.750

Energy of formation (meV/atom): 293
Calculated volume (Å³ per cell): 73
SG: Fm-3m (225)
E above lowest polymorph (eV/f.u.): 0.45
Crystal system: cubic

***

5.
# K2OsCl

A relaxed structure of K2OsCl (GGA-PBEsol, Alexandria via LeMat-Bulk).

Lattice parameters (Å, degrees): 5.565 5.565 5.565 120.43 120.43 89.25
Element x y z (fractional)
K 0.250 0.750 0.500
K 0.750 0.250 0.500
Os 0.000 0.000 0.000
Cl 0.500 0.500 0.000

Calculated volume (Å³ per cell): 121
Energy relative to the elements, uncorrected (eV per formula unit): 3.27
SG: I4/mmm (139)
E above lowest polymorph (eV/f.u.): 1.77
Crystal system: tetragonal

***

6.
# KAgH2

A relaxed structure of KAgH2 (GGA-PBEsol, Alexandria via LeMat-Bulk).

Lattice parameters (Å, degrees): 5.533 5.533 5.533 119.26 119.26 91.29
Element x y z (fractional)
K 0.000 0.000 0.000
K 0.750 0.250 0.500
Ag 0.250 0.750 0.500
Ag 0.500 0.500 0.000
H 0.258 0.125 0.633
H 0.375 0.742 0.867
H 0.492 0.625 0.367
H 0.875 0.508 0.133

E (eV/atom): -2.854
Calculated volume (Å³ per cell): 121
SG: I-42d (122)
Crystal system: tetragonal

***

7.
# CaZnFe

A relaxed structure of CaZnFe (GGA-PBEsol, Alexandria via LeMat-Bulk).

Lattice parameters (Å, degrees): 4.643 4.643 4.643 60.00 60.00 60.00
Element x y z (fractional)
Ca 0.000 0.000 0.000
Zn 0.750 0.750 0.750
Fe 0.250 0.250 0.250

Energy of formation (meV/atom): 1103
Calculated volume (Å³ per cell): 71
SG: F-43m (216)
Crystal system: cubic

***

8.
# SrMn3Cr

A relaxed structure of SrMn3Cr (GGA-PBEsol, Alexandria via LeMat-Bulk).

Lattice parameters (Å, degrees): 4.490 4.490 4.490 90.00 90.00 90.00
Element x y z (fractional)
Sr 0.000 0.000 0.000
Mn 0.000 0.500 0.500
Mn 0.500 0.000 0.500
Mn 0.500 0.500 0.000
Cr 0.500 0.500 0.500

Energy of formation (meV/atom): 881
Calculated volume (Å³ per cell): 91
SG: Pm-3m (221)
Crystal system: cubic

***

9.
# NaFeS2O8

A relaxed structure of NaFeS2O8 (GGA-PBEsol, Alexandria via LeMat-Bulk).

Lattice parameters (Å, degrees): 4.792 4.792 7.128 91.02 91.02 65.70
Element x y z (fractional)
Na 0.000 0.000 0.000
Fe 0.000 0.000 0.500
S 0.358 0.358 0.723
S 0.642 0.642 0.277
O 0.233 0.700 0.704
O 0.237 0.237 0.562
O 0.281 0.281 0.904
O 0.300 0.767 0.296
O 0.700 0.233 0.704
O 0.719 0.719 0.096
O 0.763 0.763 0.438
O 0.767 0.300 0.296

Calculated volume (Å³ per cell): 149
Energy relative to the elements, uncorrected (eV per formula unit): -17.75
SG: C2/m (12)
Crystal system: monoclinic

***

10.
# CaSc3I

A relaxed structure of CaSc3I (GGA-PBEsol, Alexandria via LeMat-Bulk).

Lattice parameters (Å, degrees): 5.333 5.333 5.333 90.00 90.00 90.00
Element x y z (fractional)
Ca 0.000 0.000 0.000
Sc 0.000 0.500 0.500
Sc 0.500 0.000 0.500
Sc 0.500 0.500 0.000
I 0.500 0.500 0.500

Calculated volume (Å³ per cell): 152
Energy relative to the elements, uncorrected (eV per formula unit): 0.87
SG: Pm-3m (221)
Crystal system: cubic

***

11.
# LiSiIr

A relaxed structure of LiSiIr (GGA-PBEsol, Alexandria via LeMat-Bulk).

Lattice parameters (Å, degrees): 3.913 3.913 3.913 60.00 60.00 60.00
Element x y z (fractional)
Li 0.000 0.000 0.000
Si 0.750 0.750 0.750
Ir 0.500 0.500 0.500

Calculated volume (Å³ per cell): 42
Energy relative to the elements, uncorrected (eV per formula unit): -1.29
SG: F-43m (216)
Crystal system: cubic

***

12.
# Cu3As2O8

A relaxed structure of Cu3As2O8 (GGA-PBEsol, Alexandria via LeMat-Bulk).

Lattice parameters (Å, degrees): 5.011 5.462 6.390 69.88 85.62 68.19
Element x y z (fractional)
Cu 0.000 0.000 0.000
Cu 0.264 0.206 0.329
Cu 0.736 0.794 0.671
As 0.366 0.346 0.781
As 0.634 0.654 0.219
O 0.144 0.674 0.635
O 0.218 0.204 0.031
O 0.306 0.649 0.163
O 0.375 0.121 0.639
O 0.625 0.879 0.361
O 0.694 0.351 0.837
O 0.782 0.796 0.969
O 0.856 0.326 0.365

Calculated volume (Å³ per cell): 152
Energy relative to the elements, uncorrected (eV per formula unit): -11.17
SG: P-1 (2)
Crystal system: triclinic

***

> Among the records above, which one has the highest calculated volume?

RbCoTeI2